TmUMn2 | GGA-PBE | relaxed Values from VASP.

As for the density of states at the Fermi level: 5.417 states/eV/f.u. As for the energy relative to the elements: 0.067 eV per atom.

```
&SYSTEM
  ibrav = 0, nat = 4, ntyp = 3
/
ATOMIC_SPECIES
Tm 168.93 Tm.upf
U 238.03 U.upf
Mn 54.94 Mn.upf
ATOMIC_POSITIONS crystal
Tm 0.000 0.000 0.000
U 0.000 0.000 0.500
Mn 0.500 0.500 0.303
Mn 0.500 0.500 0.697
CELL_PARAMETERS angstrom
3.217 0.000 0.000
0.000 3.217 0.000
0.000 0.000 6.727
```



Sr2AsPd2 | GGA-PBE | relaxed Values from VASP.

As for the density of states at the Fermi level: 2.268 states/eV/f.u. Its excess energy over the best structure of this formula in the dataset is 162 meV per atom. As for the energy relative to the elements: -0.605 eV per atom.

```
&SYSTEM
  ibrav = 0, nat = 10, ntyp = 3
/
ATOMIC_SPECIES
Sr 87.62 Sr.upf
As 74.92 As.upf
Pd 106.42 Pd.upf
ATOMIC_POSITIONS crystal
Sr 0.000 0.000 0.105
Sr 0.000 0.000 0.895
Sr 0.500 0.500 0.395
Sr 0.500 0.500 0.605
As 0.000 0.000 0.500
As 0.500 0.500 0.000
Pd 0.000 0.500 0.250
Pd 0.000 0.500 0.750
Pd 0.500 0.000 0.250
Pd 0.500 0.000 0.750
CELL_PARAMETERS angstrom
3.819 0.000 0.000
0.000 3.819 0.000
0.000 0.000 17.565
```



Pr3Ho6Er | GGA-PBE | relaxed Values from VASP.

As for the density of states at the Fermi level: 13.495 states/eV/f.u. Its excess energy over the best structure of this formula in the dataset is 0 meV per atom. As for the energy relative to the elements: 0.151 eV per atom.

```
&SYSTEM
  ibrav = 0, nat = 20, ntyp = 3
/
ATOMIC_SPECIES
Pr 140.91 Pr.upf
Ho 164.93 Ho.upf
Er 167.26 Er.upf
ATOMIC_POSITIONS crystal
Pr 0.112 0.888 0.500
Pr 0.211 0.437 0.895
Pr 0.437 0.211 0.395
Pr 0.563 0.789 0.895
Pr 0.789 0.563 0.395
Pr 0.888 0.112 0.000
Ho 0.030 0.450 0.301
Ho 0.121 0.213 0.479
Ho 0.213 0.121 0.979
Ho 0.228 0.772 0.078
Ho 0.450 0.030 0.801
Ho 0.461 0.539 0.303
Ho 0.539 0.461 0.803
Ho 0.550 0.970 0.301
Ho 0.772 0.228 0.578
Ho 0.787 0.879 0.479
Ho 0.879 0.787 0.979
Ho 0.970 0.550 0.801
Er 0.305 0.695 0.560
Er 0.695 0.305 0.060
CELL_PARAMETERS angstrom
5.488 -9.453 0.000
5.488 9.453 0.000
0.000 0.000 6.354
```



SbP2AuO | GGA-PBE | relaxed Values from VASP.

The formation energy without anion corrections is 14.66 kcal/mol of atoms. As for the density of states at the Fermi level: 3.894 states/eV/f.u. Its excess energy over the best structure of this formula in the dataset is 76 meV per atom.

```
&SYSTEM
  ibrav = 0, nat = 5, ntyp = 4
/
ATOMIC_SPECIES
Sb 121.76 Sb.upf
P 30.97 P.upf
Au 196.97 Au.upf
O 16.00 O.upf
ATOMIC_POSITIONS crystal
Sb 0.000 0.000 0.000
P 0.000 0.500 0.500
P 0.500 0.000 0.500
Au 0.500 0.500 0.500
O 0.500 0.500 0.000
CELL_PARAMETERS angstrom
4.925 0.000 0.000
0.000 4.925 0.000
0.000 0.000 3.955
```



Ce2NbGe4Ir3 | GGA-PBE | relaxed Values from VASP.

As for the density of states at the Fermi level: 10.808 states/eV/f.u. As for the energy relative to the elements: -0.684 eV per atom.

```
&SYSTEM
  ibrav = 0, nat = 10, ntyp = 4
/
ATOMIC_SPECIES
Ce 140.12 Ce.upf
Nb 92.91 Nb.upf
Ge 72.64 Ge.upf
Ir 192.22 Ir.upf
ATOMIC_POSITIONS crystal
Ce 0.000 0.500 0.236
Ce 0.500 0.000 0.764
Nb 0.000 0.000 0.500
Ge 0.000 0.000 0.000
Ge 0.000 0.500 0.646
Ge 0.500 0.000 0.354
Ge 0.500 0.500 0.000
Ir 0.000 0.500 0.875
Ir 0.500 0.000 0.125
Ir 0.500 0.500 0.500
CELL_PARAMETERS angstrom
4.213 0.000 0.000
0.000 4.213 0.000
0.000 0.000 10.726
```



Cs2RhBr4 | GGA-PBE | relaxed Values from VASP.

The formation energy without anion corrections is -25.51 kcal/mol of atoms. As for the density of states at the Fermi level: 1.844 states/eV/f.u.

```
&SYSTEM
  ibrav = 0, nat = 14, ntyp = 3
/
ATOMIC_SPECIES
Cs 132.91 Cs.upf
Rh 102.91 Rh.upf
Br 79.90 Br.upf
ATOMIC_POSITIONS crystal
Cs 0.000 0.000 0.141
Cs 0.000 0.000 0.859
Cs 0.500 0.500 0.359
Cs 0.500 0.500 0.641
Rh 0.000 0.000 0.500
Rh 0.500 0.500 0.000
Br 0.000 0.000 0.355
Br 0.000 0.000 0.645
Br 0.000 0.500 0.000
Br 0.000 0.500 0.500
Br 0.500 0.000 0.000
Br 0.500 0.000 0.500
Br 0.500 0.500 0.145
Br 0.500 0.500 0.855
CELL_PARAMETERS angstrom
5.345 0.000 0.000
0.000 5.345 0.000
0.000 0.000 17.521
```



LiCl2 | GGA-PBE | relaxed Values from VASP.

The formation energy without anion corrections is -22.41 kcal/mol of atoms. Its excess energy over the best structure of this formula in the dataset is 221 meV per atom.

```
&SYSTEM
  ibrav = 0, nat = 12, ntyp = 2
/
ATOMIC_SPECIES
Li 6.94 Li.upf
Cl 35.45 Cl.upf
ATOMIC_POSITIONS crystal
Li 0.000 0.000 0.000
Li 0.000 0.500 0.500
Li 0.500 0.000 0.500
Li 0.500 0.500 0.000
Cl 0.121 0.621 0.879
Cl 0.121 0.879 0.379
Cl 0.379 0.121 0.879
Cl 0.379 0.379 0.379
Cl 0.621 0.621 0.621
Cl 0.621 0.879 0.121
Cl 0.879 0.121 0.621
Cl 0.879 0.379 0.121
CELL_PARAMETERS angstrom
6.274 0.000 0.000
0.000 6.274 0.000
0.000 0.000 6.274
```



Y2Zn2Cu | GGA-PBE | relaxed Values from VASP.

As for the density of states at the Fermi level: 4.114 states/eV/f.u. As for the energy relative to the elements: -0.317 eV per atom.

```
&SYSTEM
  ibrav = 0, nat = 10, ntyp = 3
/
ATOMIC_SPECIES
Y 88.91 Y.upf
Zn 65.41 Zn.upf
Cu 63.55 Cu.upf
ATOMIC_POSITIONS crystal
Y 0.015 0.015 0.335
Y 0.198 0.198 0.111
Y 0.802 0.802 0.889
Y 0.985 0.985 0.665
Zn 0.354 0.354 0.436
Zn 0.493 0.493 0.116
Zn 0.507 0.507 0.884
Zn 0.646 0.646 0.564
Cu 0.274 0.274 0.652
Cu 0.726 0.726 0.348
CELL_PARAMETERS angstrom
4.981 -2.219 0.000
4.981 2.219 0.000
-4.726 0.000 9.492
```



Here are the calculated uncorrected energy numbers, same order: -8.458, -4.285, -4.486, -4.000, -7.383, -3.356, -2.841, -4.231 (eV/atom).